# 1
# LaTlPb2, relaxed, DFT PBE
# Energy in eV/atom: -3.97
# E_form in kJ/mol of formula units: -112
data_LaTlPb2
_chemical_formula_sum 'La1 Tl1 Pb2'
_symmetry_space_group_name_H-M 'P m m m'
_symmetry_Int_Tables_number 47
_symmetry_space_group_name_Hall '-P 2 2'
_cell_length_a 3.705
_cell_length_b 4.910
_cell_length_c 6.907
_cell_angle_alpha 90.00
_cell_angle_beta 90.00
_cell_angle_gamma 90.00
loop_
_atom_site_label
_atom_site_type_symbol
_atom_site_fract_x
_atom_site_fract_y
_atom_site_fract_z
La1 La 0.000 0.000 0.000
Tl1 Tl 0.000 0.000 0.500
Pb1 Pb 0.500 0.500 0.245

# 2
# CaZnGe2Rh, relaxed, DFT PBE
# Energy in eV/atom: -4.48
# E_form in kJ/mol of formula units: -247
data_CaZnGe2Rh
_chemical_formula_sum 'Ca2 Zn2 Ge4 Rh2'
_symmetry_space_group_name_H-M 'I -4 m 2'
_symmetry_Int_Tables_number 119
_symmetry_space_group_name_Hall 'I -4 -2'
_cell_length_a 4.164
_cell_length_b 4.164
_cell_length_c 10.758
_cell_angle_alpha 90.00
_cell_angle_beta 90.00
_cell_angle_gamma 90.00
loop_
_atom_site_label
_atom_site_type_symbol
_atom_site_fract_x
_atom_site_fract_y
_atom_site_fract_z
Ca1 Ca 0.000 0.000 0.000
Zn1 Zn 0.000 0.500 0.250
Ge1 Ge 0.000 0.000 0.382
Rh1 Rh 0.000 0.500 0.750

# 3
# La3In2Pt3, relaxed, DFT PBE
# Energy in eV/atom: -5.73
# E_form in kJ/mol of formula units: -718
data_La3In2Pt3
_chemical_formula_sum 'La6 In4 Pt6'
_symmetry_space_group_name_H-M 'P 63/m c m'
_symmetry_Int_Tables_number 193
_symmetry_space_group_name_Hall '-P 6c 2'
_cell_length_a 8.7316
_cell_length_b 8.7316
_cell_length_c 6.1392
_cell_angle_alpha 90.00
_cell_angle_beta 90.00
_cell_angle_gamma 120.00
loop_
_atom_site_label
_atom_site_type_symbol
_atom_site_fract_x
_atom_site_fract_y
_atom_site_fract_z
La1 La 0.0000 0.2862 0.2500
In1 In 0.3333 0.6667 0.0000
Pt1 Pt 0.0000 0.3816 0.7500

# 4
# Y3Mn3Ga2Ge, relaxed, DFT PBE
# Energy in eV/atom: -6.76
# E_form in kJ/mol of formula units: -318
data_Y3Mn3Ga2Ge
_chemical_formula_sum 'Y3 Mn3 Ga2 Ge1'
_symmetry_space_group_name_H-M 'P -6'
_symmetry_Int_Tables_number 174
_symmetry_space_group_name_Hall 'P -6'
_cell_length_a 7.0508
_cell_length_b 7.0508
_cell_length_c 4.1358
_cell_angle_alpha 90.00
_cell_angle_beta 90.00
_cell_angle_gamma 120.00
loop_
_atom_site_label
_atom_site_type_symbol
_atom_site_fract_x
_atom_site_fract_y
_atom_site_fract_z
Y1 Y 0.0018 0.5842 0.0000
Mn1 Mn 0.0044 0.2346 0.5000
Ga1 Ga 0.0000 0.0000 0.0000
Ga2 Ga 0.6667 0.3333 0.5000
Ge1 Ge 0.3333 0.6667 0.5000

# 5
# Mg2CdIn5Pb, relaxed, DFT PBE
# Energy in eV/atom: -2.31
# E_form in kJ/mol of formula units: 68
data_Mg2CdIn5Pb
_chemical_formula_sum 'Mg4 Cd2 In10 Pb2'
_symmetry_space_group_name_H-M 'P 4/m b m'
_symmetry_Int_Tables_number 127
_symmetry_space_group_name_Hall '-P 4 2ab'
_cell_length_a 7.337
_cell_length_b 7.337
_cell_length_c 9.113
_cell_angle_alpha 90.00
_cell_angle_beta 90.00
_cell_angle_gamma 90.00
loop_
_atom_site_label
_atom_site_type_symbol
_atom_site_fract_x
_atom_site_fract_y
_atom_site_fract_z
Mg1 Mg 0.136 0.364 0.000
Cd1 Cd 0.000 0.500 0.500
In1 In 0.000 0.000 0.000
In2 In 0.185 0.685 0.256
Pb1 Pb 0.000 0.000 0.500

# 6
# GaCo2Sn, relaxed, DFT PBE
# Energy in eV/atom: -5.35
# E_form in kJ/mol of formula units: -15
data_GaCo2Sn
_chemical_formula_sum 'Ga1 Co2 Sn1'
_symmetry_space_group_name_H-M 'P 4/m m m'
_symmetry_Int_Tables_number 123
_symmetry_space_group_name_Hall '-P 4 2'
_cell_length_a 3.027
_cell_length_b 3.027
_cell_length_c 6.038
_cell_angle_alpha 90.00
_cell_angle_beta 90.00
_cell_angle_gamma 90.00
loop_
_atom_site_label
_atom_site_type_symbol
_atom_site_fract_x
_atom_site_fract_y
_atom_site_fract_z
Ga1 Ga 0.000 0.000 0.000
Co1 Co 0.500 0.500 0.230
Sn1 Sn 0.000 0.000 0.500

# 7
# CeBe4Pt4, relaxed, DFT PBE
# Energy in eV/atom: -5.70
# E_form in kJ/mol of formula units: -609
data_CeBe4Pt4
_chemical_formula_sum 'Ce2 Be8 Pt8'
_symmetry_space_group_name_H-M 'P 42/n'
_symmetry_Int_Tables_number 86
_cell_length_a 7.738
_cell_length_b 7.738
_cell_length_c 4.466
_cell_angle_alpha 90.00
_cell_angle_beta 90.00
_cell_angle_gamma 90.00
loop_
_symmetry_equiv_pos_as_xyz
'x,y,z'
'-x,-y,-z'
'-y,x+1/2,z+1/2'
'y,-x+1/2,-z+1/2'
'-x+1/2,-y+1/2,z'
'x+1/2,y+1/2,-z'
'y+1/2,-x,z+1/2'
'-y+1/2,x,-z+1/2'
loop_
_atom_site_label
_atom_site_type_symbol
_atom_site_fract_x
_atom_site_fract_y
_atom_site_fract_z
Ce1 Ce 0.250 0.250 0.250
Be1 Be 0.056 0.907 0.154
Pt1 Pt 0.115 0.617 0.151

# 8
# CeH6Rh2, relaxed, DFT PBE
# ΔE to the lowest computed polymorph in meV/atom: 0.0
# Energy in eV/atom: -4.83
data_CeH6Rh2
_chemical_formula_sum 'Ce1 H6 Rh2'
_symmetry_space_group_name_H-M 'P 6/m m m'
_symmetry_Int_Tables_number 191
_symmetry_space_group_name_Hall '-P 6 2'
_cell_length_a 4.7503
_cell_length_b 4.7503
_cell_length_c 4.1675
_cell_angle_alpha 90.00
_cell_angle_beta 90.00
_cell_angle_gamma 120.00
loop_
_atom_site_label
_atom_site_type_symbol
_atom_site_fract_x
_atom_site_fract_y
_atom_site_fract_z
Ce1 Ce 0.0000 0.0000 0.0000
H1 H 0.0000 0.5000 0.2298
Rh1 Rh 0.3333 0.6667 0.5000